Here is an optimized crystal structure of H2WNO from the Alexandria database. Energies are from GGA+U.

Structure (POSCAR):
```
H2WNO
1.0
3.004 0.000 0.000
0.000 3.004 0.000
0.000 0.000 4.643
H W N O
2 1 1 1
Cartesian
0.000 1.502 0.000 H
1.502 0.000 0.000 H
0.000 0.000 2.321 W
1.502 1.502 2.321 N
0.000 0.000 0.000 O
```

Properties
Crystal system   tetragonal
Magnetization   1.9 μB/cell
Calculated total energy   -5.246 eV/atom